1.
## PrCu3O4 (PBE-GGA)

Data for an optimized crystal structure of PrCu3O4.

Computed properties:
Formation energy (no corrections) in eV/f.u.: -11.06
Energy in eV/atom: -5.99
Space-group type: Pm-3n

Lattice parameters (Å, degrees): 5.758 5.758 5.758 90.00 90.00 90.00
Positions (direct):
Cu (0.750, 0.000, 0.500)
Cu (0.000, 0.500, 0.250)
Cu (0.500, 0.750, 0.000)
Cu (0.250, 0.000, 0.500)
Cu (0.500, 0.250, 0.000)
Cu (0.000, 0.500, 0.750)
O (0.750, 0.250, 0.250)
O (0.250, 0.250, 0.250)
O (0.750, 0.750, 0.250)
O (0.250, 0.250, 0.750)
O (0.250, 0.750, 0.750)
O (0.750, 0.750, 0.750)
O (0.250, 0.750, 0.250)
O (0.750, 0.250, 0.750)
Pr (0.500, 0.500, 0.500)
Pr (0.000, 0.000, 0.000)

2.
## TaAgAs2 (PBE-GGA)

Data for an optimized crystal structure of TaAgAs2.

Computed properties:
Energy in eV/atom: -5.49
Space-group type: F-43m
E_form in eV/f.u.: 2.05

Lattice parameters (Å, degrees): 4.681 4.681 4.681 60.00 60.00 60.00
Positions (direct):
Ag (0.500, 0.500, 0.500)
Ta (0.250, 0.250, 0.250)
As (0.000, 0.000, 0.000)
As (0.750, 0.750, 0.750)